VASP calculation (PBE+U) on a relaxed CdFe3F crystal.

Cell and atoms, written as POSCAR:
```
CdFe3F
1.0
5.136 0.000 0.000
0.000 5.136 0.000
0.000 0.000 5.136
Cd Fe F
1 3 1
direct
0.000 0.000 0.000
0.000 0.000 0.500
0.000 0.500 0.000
0.500 0.000 0.000
0.500 0.500 0.500
```

Properties
DFT total energy   -3.012 eV per atom
Relative energy among the computed polymorphs   193 kJ/mol of formula units